Material: DyErTlC
Method: DFT, PBE-GGA
State: optimized geometry

## Properties
Size of the total moment: 0.3 μB per cell
Total energy: -5.57 eV per atom
Symmetry: P-6m2, No. 187

Lattice parameters (Å, degrees): 3.598 3.598 16.221 90.00 90.00 120.00
Site moments in Bohr magnetons follow the coordinates.
Atoms (fractional coordinates):
C: 0.000 0.000 0.251  0.00
Tl: 0.333 0.667 0.000  0.03
Er: 0.333 0.667 0.333  0.01
Tl: 0.667 0.333 0.500  0.00
Er: 0.333 0.667 0.667  0.01
Dy: 0.667 0.333 0.168  0.07
Dy: 0.667 0.333 0.832  0.07
C: 0.000 0.000 0.749  0.00